[1]
A geometry-optimized Re2Si2Ni structure. Source: Alexandria, functional GGA-PBE.

Summary:
For the uncorrected energy, the calculation gives -8.395 eV per atom. As for the density: 12.36 g cm⁻³. Its symmetry is P4/mbm, No. 127. As for the crystal system: tetragonal.

Lattice parameters (Å, degrees): 5.8919 5.8919 3.7712 90.00 90.00 90.00
Atoms (fractional coordinates):
1 Re 0.1724 0.3276 0.0000
2 Re 0.3276 0.8276 0.0000
3 Re 0.6724 0.1724 0.0000
4 Re 0.8276 0.6724 0.0000
5 Si 0.1398 0.6398 0.5000
6 Si 0.3602 0.1398 0.5000
7 Si 0.6398 0.8602 0.5000
8 Si 0.8602 0.3602 0.5000
9 Ni 0.0000 0.0000 0.5000
10 Ni 0.5000 0.5000 0.5000

[2]
A geometry-optimized ReSiNi structure. Source: Alexandria, functional GGA-PBE.

Summary:
Its excess energy over the best structure of this formula in the dataset is 0.0000 eV/atom. As for the density: 12.00 g cm⁻³. Its symmetry is P-6m2, No. 187. As for the crystal system: hexagonal.

Lattice parameters (Å, degrees): 4.0308 4.0308 2.6839 90.00 90.00 120.00
Atoms (fractional coordinates):
1 Re 0.0000 0.0000 0.0000
2 Si 0.3333 0.6667 0.5000
3 Ni 0.6667 0.3333 0.5000

[3]
A geometry-optimized ReSiNi2 structure. Source: Alexandria, functional GGA-PBE.

Summary:
For the uncorrected energy, the calculation gives -7.446 eV per atom. As for the density: 11.15 g cm⁻³. Its symmetry is Cmmm, No. 65. As for the crystal system: orthorhombic.

Lattice parameters (Å, degrees): 4.5304 4.5304 2.6172 90.00 90.00 113.17
Atoms (fractional coordinates):
1 Re 0.0000 0.0000 0.0000
2 Si 0.5000 0.5000 0.0000
3 Ni 0.0000 0.5000 0.5000
4 Ni 0.5000 0.0000 0.5000

[4]
A geometry-optimized ReSiNi structure. Source: Alexandria, functional GGA-PBE.

Summary:
Its excess energy over the best structure of this formula in the dataset is 0.4140 eV/atom. As for the density: 11.33 g cm⁻³. Its symmetry is P6_222, No. 180. As for the crystal system: hexagonal.

Lattice parameters (Å, degrees): 4.8082 4.8082 11.9909 90.00 90.00 120.00
Atoms (fractional coordinates):
1 Re 0.0000 0.0000 0.0000
2 Re 0.0000 0.0000 0.3333
3 Re 0.0000 0.0000 0.6667
4 Re 0.0000 0.5000 0.1667
5 Re 0.5000 0.0000 0.5000
6 Re 0.5000 0.5000 0.8333
7 Si 0.0000 0.5000 0.4947
8 Si 0.0000 0.5000 0.8386
9 Si 0.5000 0.0000 0.1720
10 Si 0.5000 0.0000 0.8280
11 Si 0.5000 0.5000 0.1614
12 Si 0.5000 0.5000 0.5053
13 Ni 0.3045 0.6523 0.6667
14 Ni 0.3477 0.6523 0.3333
15 Ni 0.3477 0.6955 0.0000
16 Ni 0.6523 0.3045 0.0000
17 Ni 0.6523 0.3477 0.3333
18 Ni 0.6955 0.3477 0.6667

[5]
A geometry-optimized ReSiNi2 structure. Source: Alexandria, functional GGA-PBE.

Summary:
For the uncorrected energy, the calculation gives -7.485 eV per atom. As for the density: 11.32 g cm⁻³. Its symmetry is F-43m, No. 216. As for the crystal system: cubic.

Lattice parameters (Å, degrees): 4.0983 4.0983 4.0983 60.00 60.00 60.00
Atoms (fractional coordinates):
1 Re 0.0000 0.0000 0.0000
2 Si 0.7500 0.7500 0.7500
3 Ni 0.2500 0.2500 0.2500
4 Ni 0.5000 0.5000 0.5000

[6]
A geometry-optimized Re2SiNi structure. Source: Alexandria, functional GGA-PBE.

Summary:
For the uncorrected energy, the calculation gives -8.979 eV per atom. As for the density: 14.01 g cm⁻³. Its symmetry is C2/m, No. 12. As for the crystal system: monoclinic.

Lattice parameters (Å, degrees): 4.5460 4.5460 4.7070 102.85 102.85 35.13
Atoms (fractional coordinates):
1 Re 0.2432 0.2432 0.2529
2 Re 0.7568 0.7568 0.7471
3 Si 0.5000 0.5000 0.0000
4 Ni 0.0000 0.0000 0.5000

[7]
A geometry-optimized Re2SiNi structure. Source: Alexandria, functional GGA-PBE.

Summary:
For the uncorrected energy, the calculation gives -8.915 eV per atom. As for the density: 14.23 g cm⁻³. Its symmetry is P4/mmm, No. 123. As for the crystal system: tetragonal.

Lattice parameters (Å, degrees): 3.7554 3.7554 3.8006 90.00 90.00 90.00
Atoms (fractional coordinates):
1 Re 0.0000 0.5000 0.0000
2 Re 0.5000 0.0000 0.0000
3 Si 0.0000 0.0000 0.5000
4 Ni 0.5000 0.5000 0.5000

[8]
A geometry-optimized SrRe2SiNi structure. Source: Alexandria, functional GGA-PBE.

Summary:
For the uncorrected energy, the calculation gives -4.022 eV per atom. As for the density: 7.89 g cm⁻³. Its symmetry is P4/mmm, No. 123. As for the crystal system: tetragonal.

Lattice parameters (Å, degrees): 4.7739 4.7739 5.0491 90.00 90.00 90.00
Atoms (fractional coordinates):
1 Sr 0.0000 0.0000 0.0000
2 Re 0.0000 0.5000 0.0000
3 Re 0.5000 0.0000 0.0000
4 Si 0.0000 0.0000 0.5000
5 Ni 0.5000 0.5000 0.5000

[9]
A geometry-optimized TaReSi2Ni structure. Source: Alexandria, functional GGA-PBE.

Summary:
For the uncorrected energy, the calculation gives -7.124 eV per atom. As for the density: 7.76 g cm⁻³. Its symmetry is P4/mmm, No. 123. As for the crystal system: tetragonal.

Lattice parameters (Å, degrees): 4.5352 4.5352 5.0142 90.00 90.00 90.00
Atoms (fractional coordinates):
1 Ta 0.0000 0.0000 0.0000
2 Re 0.0000 0.0000 0.5000
3 Si 0.0000 0.5000 0.5000
4 Si 0.5000 0.0000 0.5000
5 Ni 0.5000 0.5000 0.0000

[10]
A geometry-optimized Re2NiSn2 structure. Source: Alexandria, functional GGA-PBE.

Summary:
Its excess energy over the best structure of this formula in the dataset is 0.0000 eV/atom. As for the density: 12.36 g cm⁻³. Its symmetry is P4/mbm, No. 127. As for the crystal system: tetragonal. For the formation energy, the calculation gives 0.483 eV per atom.

Lattice parameters (Å, degrees): 6.5291 6.5291 4.2139 90.00 90.00 90.00
Atoms (fractional coordinates):
1 Re 0.1330 0.3670 0.0000
2 Re 0.3670 0.8670 0.0000
3 Re 0.6330 0.1330 0.0000
4 Re 0.8670 0.6330 0.0000
5 Ni 0.0000 0.0000 0.0000
6 Ni 0.5000 0.5000 0.0000
7 Sn 0.1746 0.6746 0.5000
8 Sn 0.3254 0.1746 0.5000
9 Sn 0.6746 0.8254 0.5000
10 Sn 0.8254 0.3254 0.5000

[11]
A geometry-optimized ReNi3Sn structure. Source: Alexandria, functional GGA-PBE.

Summary:
Its excess energy over the best structure of this formula in the dataset is 0.0000 eV/atom. As for the density: 8.46 g cm⁻³. Its symmetry is Pm-3m, No. 221. As for the crystal system: cubic. For the formation energy, the calculation gives 1.112 eV per atom.

Lattice parameters (Å, degrees): 4.5543 4.5543 4.5543 90.00 90.00 90.00
Atoms (fractional coordinates):
1 Re 0.0000 0.0000 0.0000
2 Ni 0.0000 0.0000 0.5000
3 Ni 0.0000 0.5000 0.0000
4 Ni 0.5000 0.0000 0.0000
5 Sn 0.5000 0.5000 0.5000

[12]
A geometry-optimized Re2NiSn2 structure. Source: Alexandria, functional GGA-PBE.

Summary:
Its excess energy over the best structure of this formula in the dataset is 0.4673 eV/atom. As for the density: 10.84 g cm⁻³. Its symmetry is I4/mmm, No. 139. As for the crystal system: tetragonal. For the formation energy, the calculation gives 0.950 eV per atom.

Lattice parameters (Å, degrees): 5.2584 5.2584 5.2584 120.23 120.23 89.60
Atoms (fractional coordinates):
1 Re 0.1540 0.1540 0.0000
2 Re 0.8460 0.8460 0.0000
3 Ni 0.5000 0.5000 0.0000
4 Sn 0.2500 0.7500 0.5000
5 Sn 0.7500 0.2500 0.5000